The following is a DFT calculation (GGA-PBE) of Sm3AuSeCl after structural relaxation.

Cell: 7.8179 4.0313 10.9550 Å, 90.00 108.79 90.00°
Last column: nearest neighbours and their distance in Å.
Sites, in units of the cell vectors:
Sm: 0.1490 0.2500 0.1479  2 Se 2.90, 2 Au 3.12, 1 Cl 3.21
Sm: 0.2032 0.2500 0.4923  3 Cl 2.94-3.11, 3 Au 3.03-3.10
Sm: 0.3202 0.7500 0.8301  3 Se 2.87-2.94, 1 Cl 2.95, 2 Au 3.09
Sm: 0.6798 0.2500 0.1699  3 Se 2.87-2.94, 1 Cl 2.95, 2 Au 3.09
Sm: 0.7968 0.7500 0.5077  3 Cl 2.94-3.11, 3 Au 3.03-3.10
Sm: 0.8510 0.7500 0.8521  2 Se 2.90, 2 Au 3.12, 1 Cl 3.21
Au: 0.0157 0.2500 0.7027  7 Sm 3.03-3.12
Au: 0.9843 0.7500 0.2973  7 Sm 3.03-3.12
Se: 0.3901 0.7500 0.1040  5 Sm 2.87-2.94
Se: 0.6099 0.2500 0.8960  5 Sm 2.87-2.94
Cl: 0.4761 0.7500 0.6180  5 Sm 2.94-3.21
Cl: 0.5239 0.2500 0.3820  5 Sm 2.94-3.21

Properties
- Total energy: -5.098 eV/atom
- Density: 7.75 g/cm³
- Space-group type: P2_1/m

***

The following is a DFT calculation (GGA-PBE) of TlAuSeCl after structural relaxation.

Cell: 4.6560 3.4241 7.3803 Å, 90.00 108.07 90.00°
Last column: nearest neighbours and their distance in Å.
Sites, in units of the cell vectors:
Tl: 0.0000 0.0000 0.0000  1 Au 2.93, 4 Cl 2.99-3.00
Au: 0.7880 0.0000 0.5829  2 Se 2.46
Se: 0.2320 0.0000 0.4689  2 Au 2.46
Cl: 0.5537 0.5000 0.1113  4 Tl 2.99-3.00

Properties
- Total energy: -2.990 eV/atom
- Density: 7.66 g/cm³
- Space-group type: Pm

***

The following is a DFT calculation (GGA-PBE) of TlAuSeCl after structural relaxation.

Cell: 4.0559 4.9545 6.9406 Å, 84.11 80.34 66.06°
Last column: nearest neighbours and their distance in Å.
Sites, in units of the cell vectors:
Tl: 0.0000 0.0000 0.0000  2 Cl 3.06-3.12, 3 Se 3.15-3.26
Au: 0.5878 0.5270 0.4430  2 Se 2.42-2.58, 1 Cl 2.46
Se: 0.2289 0.4024 0.2503  2 Au 2.42-2.58
Cl: 0.7156 0.6988 0.7307  1 Au 2.46

Properties
- Total energy: -3.042 eV/atom
- Density: 6.82 g/cm³
- Space-group type: P1

***

The following is a DFT calculation (GGA-PBE) of TlAuSeCl after structural relaxation.

Cell: 4.2145 4.2153 8.3381 Å, 89.51 89.61 60.02°
Last column: nearest neighbours and their distance in Å.
Sites, in units of the cell vectors:
Tl: 0.0000 0.0000 0.0000  3 Cl 2.89-2.90, 1 Au 3.09
Au: 0.9943 0.9851 0.6295  3 Se 2.51
Se: 0.3283 0.3200 0.5554  3 Au 2.51
Cl: 0.6652 0.6636 0.1880  3 Tl 2.89-2.90

Properties
- Total energy: -3.054 eV/atom
- Density: 6.68 g/cm³
- Space-group type: P1

***

The following is a DFT calculation (GGA-PBE) of TlAuSeCl after structural relaxation.

Cell: 8.4532 8.4532 3.6927 Å, 90.53 90.53 25.27°
Last column: nearest neighbours and their distance in Å.
Sites, in units of the cell vectors:
Tl: 0.0000 0.0000 0.0000  4 Cl 3.03-3.04
Au: 0.2235 0.2235 0.4899  4 Se 2.66
Se: 0.6929 0.6929 0.9883  4 Au 2.66
Cl: 0.4063 0.4063 0.4965  1 Au 3.02, 4 Tl 3.03-3.04

Properties
- Total energy: -3.075 eV/atom
- Density: 7.60 g/cm³
- Space-group type: Cm

***

The following is a DFT calculation (GGA-PBE) of TlAuSeCl after structural relaxation.

Cell: 8.3449 8.3449 8.3449 Å, 29.18 29.18 29.18°
Last column: nearest neighbours and their distance in Å.
Sites, in units of the cell vectors:
Tl: 0.0000 0.0000 0.0000  3 Cl 2.98
Au: 0.5260 0.5260 0.5260  3 Se 2.52
Se: 0.2214 0.2214 0.2214  3 Au 2.52
Cl: 0.4055 0.4055 0.4055  1 Au 2.89, 3 Tl 2.98

Properties
- Total energy: -3.073 eV/atom
- Density: 7.01 g/cm³
- Space-group type: R3m

***

The following is a DFT calculation (GGA-PBE) of TlAuSeCl after structural relaxation.

Cell: 4.2119 4.2119 7.8228 Å, 90.35 90.35 60.33°
Last column: nearest neighbours and their distance in Å.
Sites, in units of the cell vectors:
Tl: 0.0000 0.0000 0.0000  3 Cl 2.99
Au: 0.3271 0.3271 0.5834  3 Se 2.53-2.54
Se: 0.6629 0.6629 0.6722  3 Au 2.53-2.54
Cl: 0.3358 0.3358 0.2210  1 Au 2.84, 3 Tl 2.99

Properties
- Total energy: -3.079 eV/atom
- Density: 7.10 g/cm³
- Space-group type: Cm

***

The following is a DFT calculation (GGA-PBE) of Si2AuCl after structural relaxation.

Cell: 2.8264 3.3656 7.9719 Å, 90.00 90.82 90.00°
Last column: nearest neighbours and their distance in Å.
Sites, in units of the cell vectors:
Si: 0.0088 0.0000 0.2572  2 Au 2.57, 2 Cl 2.65, 2 Si 2.83
Si: 0.9912 0.0000 0.7428  2 Au 2.57, 2 Cl 2.65, 2 Si 2.83
Au: 0.0000 0.5000 0.5000  4 Si 2.57, 2 Au 2.83
Cl: 0.0000 0.5000 0.0000  4 Si 2.65, 2 Cl 2.83

Properties
- Total energy: -3.759 eV/atom
- Density: 6.32 g/cm³
- Space-group type: P2/m